(1)
First-principles (PBE-GGA) data for an optimized crystal structure of KY2Pb2, as listed in the Alexandria database.

Properties
Space group: No. 127
Crystal system: tetragonal
Total magnetization in Bohr magnetons per cell: 0.9
Density in g/cm3: 6.6
DFT formation energy in kJ/mol of atoms: -33

Cell lengths 9.4954, 9.4954, 3.5136 Å; angles 90.00, 90.00, 90.00 degrees
With the nearest neighbours (Å) after each atom.
Positions (direct):
K 0.0000 0.0000 0.0000  2 K 3.51, 4 Y 3.73
K 0.5000 0.5000 0.0000  2 K 3.51, 4 Y 3.73
Y 0.1295 0.3705 0.0000  6 Pb 3.25-3.34, 3 Y 3.48-3.51
Y 0.3705 0.8705 0.0000  6 Pb 3.25-3.34, 3 Y 3.48-3.51
Y 0.6295 0.1295 0.0000  6 Pb 3.25-3.34, 3 Y 3.48-3.51
Y 0.8705 0.6295 0.0000  6 Pb 3.25-3.34, 3 Y 3.48-3.51
Pb 0.1667 0.6667 0.5000  6 Y 3.25-3.34, 2 Pb 3.51
Pb 0.3333 0.1667 0.5000  6 Y 3.25-3.34, 2 Pb 3.51
Pb 0.6667 0.8333 0.5000  6 Y 3.25-3.34, 2 Pb 3.51
Pb 0.8333 0.3333 0.5000  6 Y 3.25-3.34, 2 Pb 3.51

---

(2)
First-principles (PBE-GGA) data for an optimized crystal structure of RbCd3Pd, as listed in the Alexandria database.

Properties
Space group: No. 63
Crystal system: orthorhombic
Total magnetization in Bohr magnetons per cell: 0.0
Density in g/cm3: 3.1
DFT formation energy in kJ/mol of atoms: 8

Cell lengths 13.8718, 13.8718, 5.2053 Å; angles 90.00, 90.00, 145.68 degrees
With the nearest neighbours (Å) after each atom.
Positions (direct):
Rb 0.1353 0.8647 0.7500  1 Pd 3.19
Rb 0.8647 0.1353 0.2500  1 Pd 3.19
Cd 0.0000 0.0000 0.0000  2 Cd 2.60
Cd 0.0000 0.0000 0.5000  2 Cd 2.60
Cd 0.0834 0.5803 0.2500  3 Pd 2.72-2.95, 3 Cd 2.75-2.93
Cd 0.4197 0.9166 0.2500  3 Pd 2.72-2.95, 3 Cd 2.75-2.93
Cd 0.5803 0.0834 0.7500  3 Pd 2.72-2.95, 3 Cd 2.75-2.93
Cd 0.9166 0.4197 0.7500  3 Pd 2.72-2.95, 3 Cd 2.75-2.93
Pd 0.2555 0.7445 0.7500  6 Cd 2.72-2.95
Pd 0.7445 0.2555 0.2500  6 Cd 2.72-2.95

---

(3)
First-principles (PBE-GGA) data for an optimized crystal structure of ScAl3Si, as listed in the Alexandria database.

Properties
Space group: No. 221
Crystal system: cubic
Formation energy (no corrections) in eV/atom: 1.23
Total magnetization in Bohr magnetons per cell: 0.0
Density in g/cm3: 1.8

Cell lengths 5.1744, 5.1744, 5.1744 Å; angles 90.00, 90.00, 90.00 degrees
With the nearest neighbours (Å) after each atom.
Positions (direct):
Sc 0.0000 0.0000 0.0000  6 Al 2.59
Al 0.0000 0.0000 0.5000  2 Sc 2.59
Al 0.0000 0.5000 0.0000  2 Sc 2.59
Al 0.5000 0.0000 0.0000  2 Sc 2.59
Si 0.5000 0.5000 0.5000  12 Al 3.66

---

(4)
First-principles (PBE-GGA) data for an optimized crystal structure of LiSnP2O7, as listed in the Alexandria database.

Properties
Space group: No. 2
Crystal system: triclinic
Formation energy (no corrections) in eV/atom: -2.07
Total magnetization in Bohr magnetons per cell: 0.0
Density in g/cm3: 3.2

Cell lengths 5.2719, 8.3742, 14.3890 Å; angles 75.83, 87.70, 89.88 degrees
With the nearest neighbours (Å) after each atom.
Positions (direct):
Li 0.1489 0.1363 0.3398  3 O 1.85-2.04
Li 0.2414 0.2009 0.8328  3 O 1.91-2.01
Li 0.7586 0.7991 0.1672  3 O 1.91-2.01
Li 0.8511 0.8637 0.6602  3 O 1.85-2.04
Sn 0.2371 0.1230 0.1098  3 O 2.23-2.47
Sn 0.2390 0.5934 0.6364  6 O 2.05-2.12
Sn 0.7610 0.4066 0.3636  6 O 2.05-2.12
Sn 0.7629 0.8770 0.8902  3 O 2.23-2.47
P 0.2569 0.2808 0.5167  4 O 1.52-1.59
P 0.2672 0.4769 0.2217  4 O 1.50-1.59
P 0.2757 0.7645 0.0529  4 O 1.53-1.64
P 0.3240 0.9912 0.6803  4 O 1.50-1.68
P 0.6760 0.0088 0.3197  4 O 1.50-1.68
P 0.7243 0.2355 0.9471  4 O 1.53-1.64
P 0.7328 0.5231 0.7783  4 O 1.50-1.59
P 0.7431 0.7192 0.4833  4 O 1.52-1.59
O 0.0006 0.5325 0.2517  1 P 1.56
O 0.0089 0.2013 0.9445  1 P 1.53
O 0.0904 0.2946 0.4291  1 P 1.55
O 0.1725 0.0502 0.7563  1 P 1.51
O 0.1718 0.3935 0.5801  1 P 1.52
O 0.2170 0.0946 0.5744  2 P 1.59-1.68
O 0.2260 0.8136 0.6800  1 P 1.58
O 0.2784 0.2962 0.2248  1 P 1.50
O 0.3191 0.5734 0.1128  2 P 1.59-1.64
O 0.3895 0.7679 0.9530  1 P 1.53
O 0.3937 0.9853 0.3248  1 P 1.50
O 0.4282 0.8697 0.1058  1 P 1.54
O 0.4617 0.6960 0.5168  1 P 1.54
O 0.4765 0.5317 0.2814  1 P 1.56
O 0.5235 0.4683 0.7186  1 P 1.56
O 0.5383 0.3040 0.4832  1 P 1.54
O 0.5718 0.1303 0.8942  1 P 1.54
O 0.6063 0.0147 0.6752  1 P 1.50
O 0.6105 0.2321 0.0470  1 P 1.53
O 0.6809 0.4266 0.8872  2 P 1.59-1.64
O 0.7216 0.7038 0.7752  1 P 1.50
O 0.7740 0.1864 0.3200  1 P 1.58
O 0.7830 0.9054 0.4256  2 P 1.59-1.68
O 0.8282 0.6065 0.4199  1 P 1.52
O 0.8275 0.9498 0.2437  1 P 1.51
O 0.9096 0.7054 0.5709  1 P 1.55
O 0.9911 0.7987 0.0555  1 P 1.53
O 0.9994 0.4675 0.7483  1 P 1.56

---

(5)
First-principles (PBE-GGA) data for an optimized crystal structure of AlCu2Re, as listed in the Alexandria database.

Properties
Space group: No. 216
Crystal system: cubic
Total magnetization in Bohr magnetons per cell: 0.6
Density in g/cm3: 10.5
DFT formation energy in kJ/mol of atoms: 22

Cell lengths 4.2357, 4.2357, 4.2357 Å; angles 60.00, 60.00, 60.00 degrees
With the nearest neighbours (Å) after each atom.
Positions (direct):
Al 0.0000 0.0000 0.0000  4 Re 2.59, 4 Cu 2.59
Cu 0.2500 0.2500 0.2500  4 Cu 2.59, 4 Al 2.59
Cu 0.5000 0.5000 0.5000  4 Re 2.59, 4 Cu 2.59
Re 0.7500 0.7500 0.7500  4 Cu 2.59, 4 Al 2.59

---

(6)
First-principles (PBE-GGA) data for an optimized crystal structure of TlHg2Ge, as listed in the Alexandria database.

Properties
Space group: No. 166
Crystal system: trigonal
Total magnetization in Bohr magnetons per cell: 0.0
Density in g/cm3: 10.9
DFT formation energy in kJ/mol of atoms: 19

Cell lengths 11.2715, 11.2715, 11.2715 Å; angles 16.75, 16.75, 16.75 degrees
With the nearest neighbours (Å) after each atom.
Positions (direct):
Tl 0.0000 0.0000 0.0000  2 Hg 3.06, 6 Tl 3.28
Hg 0.0919 0.0919 0.0919  1 Tl 3.06, 3 Ge 3.13, 6 Hg 3.28
Hg 0.9081 0.9081 0.9081  1 Tl 3.06, 3 Ge 3.13, 6 Hg 3.28
Ge 0.5000 0.5000 0.5000  6 Hg 3.13, 6 Ge 3.28

---

(7)
First-principles (PBE-GGA) data for an optimized crystal structure of ScMoSe2, as listed in the Alexandria database.

Properties
Space group: No. 99
Crystal system: tetragonal
Formation energy (no corrections) in eV/atom: -0.78
Total magnetization in Bohr magnetons per cell: 0.0
Density in g/cm3: 6.2

Cell lengths 3.4578, 3.4578, 6.6751 Å; angles 90.00, 90.00, 90.00 degrees
With the nearest neighbours (Å) after each atom.
Positions (direct):
Sc 0.0000 0.0000 0.0000  5 Se 2.64-2.85
Mo 0.5000 0.5000 0.7350  5 Se 2.67-2.76
Se 0.0000 0.0000 0.5731  4 Mo 2.67, 1 Sc 2.85
Se 0.5000 0.5000 0.1480  4 Sc 2.64, 1 Mo 2.76

---

(8)
First-principles (PBE-GGA) data for an optimized crystal structure of In2S2Cl, as listed in the Alexandria database.

Properties
Space group: No. 109
Crystal system: tetragonal
Formation energy (no corrections) in eV/atom: -0.48
Total magnetization in Bohr magnetons per cell: 0.0
Density in g/cm3: 2.9

Cell lengths 8.0307, 8.0307, 8.0307 Å; angles 117.76, 117.76, 93.93 degrees
With the nearest neighbours (Å) after each atom.
Positions (direct):
In 0.2910 0.0000 0.2910  3 S 2.56-2.58, 1 Cl 2.61
In 0.7090 0.0000 0.7090  3 S 2.56-2.58, 1 Cl 2.61
In 0.7500 0.5410 0.7910  3 S 2.56-2.58, 1 Cl 2.61
In 0.7500 0.9590 0.2090  3 S 2.56-2.58, 1 Cl 2.61
S 0.5212 0.2489 0.7276  3 In 2.56-2.58
S 0.5212 0.7936 0.2724  3 In 2.56-2.58
S 0.5436 0.7712 0.7724  3 In 2.56-2.58
S 0.9989 0.7712 0.2276  3 In 2.56-2.58
Cl 0.0905 0.0905 0.0000  2 In 2.61
Cl 0.8405 0.3405 0.5000  2 In 2.61

---

(9)
First-principles (PBE-GGA) data for an optimized crystal structure of Ni2Ge2Se, as listed in the Alexandria database.

Properties
Space group: No. 127
Crystal system: tetragonal
Formation energy (no corrections) in eV/atom: 0.01
Total magnetization in Bohr magnetons per cell: 0.0
Density in g/cm3: 7.5

Cell lengths 6.8525, 6.8525, 3.2192 Å; angles 90.00, 90.00, 90.00 degrees
With the nearest neighbours (Å) after each atom.
Positions (direct):
Ni 0.1358 0.3642 0.0000  6 Ge 2.55-2.60, 1 Ni 2.63, 2 Se 2.66
Ni 0.3642 0.8642 0.0000  6 Ge 2.55-2.60, 1 Ni 2.63, 2 Se 2.66
Ni 0.6358 0.1358 0.0000  6 Ge 2.55-2.60, 1 Ni 2.63, 2 Se 2.66
Ni 0.8642 0.6358 0.0000  6 Ge 2.55-2.60, 1 Ni 2.63, 2 Se 2.66
Ge 0.1532 0.6532 0.5000  6 Ni 2.55-2.60
Ge 0.3468 0.1532 0.5000  6 Ni 2.55-2.60
Ge 0.6532 0.8468 0.5000  6 Ni 2.55-2.60
Ge 0.8468 0.3468 0.5000  6 Ni 2.55-2.60
Se 0.0000 0.0000 0.0000  4 Ni 2.66
Se 0.5000 0.5000 0.0000  4 Ni 2.66

---

(10)
First-principles (PBE-GGA) data for an optimized crystal structure of Rb2SrSn2, as listed in the Alexandria database.

Properties
Space group: No. 139
Crystal system: tetragonal
Total magnetization in Bohr magnetons per cell: 0.0
Density in g/cm3: 3.9
DFT formation energy in kJ/mol of atoms: -16

Cell lengths 8.9700, 8.9700, 8.9700 Å; angles 147.11, 147.11, 47.19 degrees
With the nearest neighbours (Å) after each atom.
Positions (direct):
Rb 0.2500 0.7500 0.5000  4 Rb 3.59, 4 Sn 3.73
Rb 0.7500 0.2500 0.5000  4 Rb 3.59, 4 Sn 3.73
Sr 0.0000 0.0000 0.0000  8 Sn 3.85
Sn 0.4161 0.4161 0.0000  1 Sn 2.76
Sn 0.5839 0.5839 0.0000  1 Sn 2.76